# PmAl3Tc

A geometry-optimized PmAl3Tc structure (PBE, the Alexandria database).

```
PmAl3Tc
1.0
4.738 0.000 0.000
0.000 4.738 0.000
0.000 0.000 4.738
Pm Al Tc
1 3 1
Direct
0.500 0.500 0.500
0.500 0.000 0.000
0.000 0.000 0.500
0.000 0.500 0.000
0.000 0.000 0.000
```

## Properties
- Spin magnetization: 0.00 μB/cell
- Formation energy from the elements: -0.3149 eV per atom
- Crystal system: cubic